CrCd3O6: optimized geometry, PBE+U.

Output
Energy (eV per cell): -98.71
SG: P2_1/c, No. 14

abc: 5.4571 5.6774 9.6220
angles: 90.00 123.08 90.00
With the nearest neighbours (Å) after each atom.
Element x y z (fractional)
Cr (0.0000, 0.0000, 0.0000)  6 O 1.78-1.98
Cr (0.0000, 0.5000, 0.5000)  6 O 1.78-1.98
Cd (0.2339, 0.0518, 0.7496)  5 O 2.24-2.42
Cd (0.2339, 0.4482, 0.2496)  5 O 2.24-2.42
Cd (0.5000, 0.0000, 0.5000)  6 O 2.29-2.37
Cd (0.5000, 0.5000, 0.0000)  6 O 2.29-2.37
Cd (0.7661, 0.5518, 0.7504)  5 O 2.24-2.42
Cd (0.7661, 0.9482, 0.2504)  5 O 2.24-2.42
O (0.0935, 0.2267, 0.4108)  1 Cr 1.97
O (0.0935, 0.2733, 0.9108)  1 Cr 1.97
O (0.2119, 0.6772, 0.4515)  1 Cr 1.78
O (0.2119, 0.8228, 0.9515)  1 Cr 1.78
O (0.3508, 0.0716, 0.2222)  1 Cr 1.98
O (0.3508, 0.4284, 0.7222)  1 Cr 1.98
O (0.6492, 0.5716, 0.2778)  1 Cr 1.98
O (0.6492, 0.9284, 0.7778)  1 Cr 1.98
O (0.7881, 0.1772, 0.0485)  1 Cr 1.78
O (0.7881, 0.3228, 0.5485)  1 Cr 1.78
O (0.9065, 0.7267, 0.0892)  1 Cr 1.97
O (0.9065, 0.7733, 0.5892)  1 Cr 1.97